No. 1
NaVHg2O4 | Alexandria | GGA+U | relaxed; space group = Fmm2; total DFT energy (no corrections) = -4.8065 eV per atom
1.0
-3.9321 2.9436 -0.2706
-2.7361 -3.8097 -1.4827
2.0566 -0.7721 6.3309
V O Na Hg
1 4 1 2
direct
0.4999 0.4999 0.9998
0.7937 0.3853 0.1790
0.6150 0.6150 0.8205
0.3853 0.7937 0.1790
0.2055 0.2055 0.8205
0.0006 0.0006 0.0012
0.7502 0.2502 0.5003
0.2502 0.7502 0.5003

=====

No. 2
NaVHgO4 | Alexandria | GGA+U | relaxed; space group = Cmcm; total DFT energy (no corrections) = -5.5771 eV per atom
1.0
-4.4658 -2.9790 -1.3375
3.3994 0.3711 -4.3489
3.4504 -6.1479 2.1725
O Na Hg V
8 2 2 2
direct
0.7323 0.2677 0.5516
0.8259 0.7345 0.2500
0.7323 0.2677 0.9484
0.2677 0.7323 0.4484
0.7345 0.8259 0.7500
0.2677 0.7323 0.0516
0.2655 0.1741 0.2500
0.1741 0.2655 0.7500
0.1808 0.8192 0.7500
0.8192 0.1808 0.2500
0.5000 0.5000 0.0000
0.5000 0.5000 0.5000
0.1599 0.8401 0.2500
0.8401 0.1599 0.7500

=====

No. 3
Na2VHg2O6 | Alexandria | GGA+U | relaxed; space group = C2/m; total DFT energy (no corrections) = -4.7271 eV per atom
1.0
-2.7678 -4.5553 2.5976
4.9042 2.3351 2.3781
-3.4025 3.8805 2.8860
Na O Hg V
2 6 2 1
direct
0.3405 0.6595 0.5000
0.6595 0.3405 0.5000
0.0059 0.7205 0.3095
0.7205 0.0059 0.3095
0.7499 0.7499 0.6613
0.2795 0.9941 0.6905
0.9941 0.2795 0.6905
0.2501 0.2501 0.3387
0.8497 0.1503 0.0000
0.1503 0.8497 0.0000
0.0000 0.0000 0.5000

=====

No. 4
NaV2Hg2O7 | Alexandria | GGA+U | relaxed; space group = R32; total DFT energy (no corrections) = -5.6119 eV per atom
1.0
-3.0312 -2.4383 -4.3722
2.7821 -1.9040 -4.7838
0.7918 -8.4324 0.2369
Hg O V Na
2 7 2 1
direct
0.7746 0.7746 0.6762
0.2254 0.2254 0.3238
0.0000 0.0000 0.0000
0.1429 0.8084 0.6897
0.3590 0.1429 0.6897
0.1916 0.8571 0.3103
0.8084 0.3590 0.6897
0.6410 0.1916 0.3103
0.8571 0.6410 0.3103
0.0774 0.0774 0.7679
0.9226 0.9226 0.2321
0.5000 0.5000 0.5000

=====

No. 5
Na2HgWO4 | Alexandria | GGA+U | relaxed; space group = I-42m; total DFT energy (no corrections) = -5.4020 eV per atom
1.0
6.0152 -0.0397 -0.0572
-2.9310 5.2529 0.0572
-2.9310 -1.7849 4.9407
O W Na Hg
4 1 2 1
direct
0.6563 0.4553 0.4553
0.0000 0.2011 0.5447
0.0000 0.5447 0.2011
0.3437 0.7989 0.7989
0.0000 0.5000 0.5000
0.5000 0.7500 0.2500
0.5000 0.2500 0.7500
0.0000 0.0000 0.0000